1.
The following is a PBE calculation of an optimized crystal structure of KNpC2O8, from Alexandria via LeMat-Bulk.

Calculated values
The formation energy from raw total energies comes out at -1847 meV/atom. The size of the total moment is 0.051 μB/f.u. The calculation puts the raw total energy at -7.8601 eV/atom. Its symmetry is C2/m (12). The mass density is 3.672 Mg/m³.

Structure (CIF):
```
data_KNpC2O8
_chemical_formula_sum 'K1 Np1 C2 O8'
_symmetry_space_group_name_H-M 'P 1'
_symmetry_Int_Tables_number 1
_symmetry_space_group_name_Hall 'P 1'
_cell_length_a 5.106
_cell_length_b 5.106
_cell_length_c 8.420
_cell_angle_alpha 95.50
_cell_angle_beta 95.50
_cell_angle_gamma 62.56
loop_
_atom_site_label
_atom_site_type_symbol
_atom_site_fract_x
_atom_site_fract_y
_atom_site_fract_z
K1 K 0.000 0.000 0.000
Np1 Np 0.000 0.000 0.500
C1 C 0.427 0.427 0.236
C2 C 0.573 0.573 0.764
O1 O 0.201 0.201 0.482
O2 O 0.262 0.684 0.310
O3 O 0.316 0.738 0.690
O4 O 0.351 0.351 0.101
O5 O 0.649 0.649 0.899
O6 O 0.684 0.262 0.310
O7 O 0.738 0.316 0.690
O8 O 0.799 0.799 0.518
```


2.
The following is a PBE calculation of an optimized crystal structure of YZr2Zn, from Alexandria via LeMat-Bulk.

Calculated values
The size of the total moment is 0.000 μB/f.u. The calculation puts the formation energy at -0.12 eV per atom. The calculation puts the raw total energy at -6.3294 eV/atom. Its symmetry is C2/m (12). The mass density is 6.051 Mg/m³.

Structure (CIF):
```
data_YZr2Zn
_chemical_formula_sum 'Y1 Zr2 Zn1'
_symmetry_space_group_name_H-M 'P 1'
_symmetry_Int_Tables_number 1
_symmetry_space_group_name_Hall 'P 1'
_cell_length_a 6.224
_cell_length_b 6.224
_cell_length_c 5.045
_cell_angle_alpha 113.84
_cell_angle_beta 113.84
_cell_angle_gamma 31.39
loop_
_atom_site_label
_atom_site_type_symbol
_atom_site_fract_x
_atom_site_fract_y
_atom_site_fract_z
Y1 Y 0.000 0.000 0.000
Zr1 Zr 0.217 0.217 0.717
Zr2 Zr 0.783 0.783 0.283
Zn1 Zn 0.500 0.500 0.500
```


3.
The following is a PBE calculation of an optimized crystal structure of TiOsO2, from Alexandria via LeMat-Bulk.

Calculated values
Its relative energy among the computed polymorphs is 517 meV/atom. The formation energy from raw total energies comes out at -1069 meV/atom. The size of the total moment is 0.000 μB/f.u. The calculation puts the raw total energy at -8.3297 eV/atom. Its symmetry is I-42d (122). The mass density is 9.685 Mg/m³.

Structure (CIF):
```
data_TiOsO2
_chemical_formula_sum 'Ti2 Os2 O4'
_symmetry_space_group_name_H-M 'P 1'
_symmetry_Int_Tables_number 1
_symmetry_space_group_name_Hall 'P 1'
_cell_length_a 6.755
_cell_length_b 6.755
_cell_length_c 6.755
_cell_angle_alpha 146.68
_cell_angle_beta 146.68
_cell_angle_gamma 47.83
loop_
_atom_site_label
_atom_site_type_symbol
_atom_site_fract_x
_atom_site_fract_y
_atom_site_fract_z
Ti1 Ti 0.000 0.000 0.000
Ti2 Ti 0.750 0.250 0.500
Os1 Os 0.250 0.750 0.500
Os2 Os 0.500 0.500 0.000
O1 O 0.122 0.625 0.997
O2 O 0.375 0.372 0.497
O3 O 0.628 0.125 0.003
O4 O 0.875 0.878 0.503
```


4.
The following is a PBE calculation of an optimized crystal structure of Er2UMn2C4, from Alexandria via LeMat-Bulk.

Calculated values
The size of the total moment is 1.930 μB/f.u. The calculation puts the formation energy at -0.12 eV per atom. The calculation puts the raw total energy at -8.5292 eV/atom. Its symmetry is C2/m (12). The mass density is 10.357 Mg/m³.

Structure (CIF):
```
data_Er2UMn2C4
_chemical_formula_sum 'Er2 U1 Mn2 C4'
_symmetry_space_group_name_H-M 'P 1'
_symmetry_Int_Tables_number 1
_symmetry_space_group_name_Hall 'P 1'
_cell_length_a 6.468
_cell_length_b 6.468
_cell_length_c 5.988
_cell_angle_alpha 108.64
_cell_angle_beta 108.64
_cell_angle_gamma 29.69
loop_
_atom_site_label
_atom_site_type_symbol
_atom_site_fract_x
_atom_site_fract_y
_atom_site_fract_z
Er1 Er 0.137 0.137 0.049
Er2 Er 0.863 0.863 0.951
U1 U 0.000 0.000 0.500
Mn1 Mn 0.318 0.318 0.507
Mn2 Mn 0.682 0.682 0.493
C1 C 0.221 0.221 0.710
C2 C 0.470 0.470 0.753
C3 C 0.530 0.530 0.247
C4 C 0.779 0.779 0.290
```


5.
The following is a PBE calculation of an optimized crystal structure of YTm3Sb2C, from Alexandria via LeMat-Bulk.

Calculated values
The formation energy from raw total energies comes out at -757 meV/atom. The size of the total moment is 0.000 μB/f.u. The calculation puts the raw total energy at -6.0918 eV/atom. Its symmetry is Immm (71). The mass density is 8.055 Mg/m³.

Structure (CIF):
```
data_YTm3Sb2C
_chemical_formula_sum 'Y1 Tm3 Sb2 C1'
_symmetry_space_group_name_H-M 'P 1'
_symmetry_Int_Tables_number 1
_symmetry_space_group_name_Hall 'P 1'
_cell_length_a 8.462
_cell_length_b 8.462
_cell_length_c 8.462
_cell_angle_alpha 147.59
_cell_angle_beta 147.16
_cell_angle_gamma 46.81
loop_
_atom_site_label
_atom_site_type_symbol
_atom_site_fract_x
_atom_site_fract_y
_atom_site_fract_z
Y1 Y 0.000 0.000 0.000
Tm1 Tm 0.344 0.844 0.500
Tm2 Tm 0.500 0.500 0.000
Tm3 Tm 0.656 0.156 0.500
Sb1 Sb 0.144 0.644 0.500
Sb2 Sb 0.856 0.356 0.500
C1 C 0.500 0.000 0.500
```


6.
The following is a PBE calculation of an optimized crystal structure of PmLuCdOs, from Alexandria via LeMat-Bulk.

Calculated values
The size of the total moment is 0.000 μB/f.u. The calculation puts the formation energy at -0.16 eV per atom. The calculation puts the raw total energy at -5.5181 eV/atom. Its symmetry is F-43m (216). The mass density is 11.469 Mg/m³.

Structure (CIF):
```
data_PmLuCdOs
_chemical_formula_sum 'Pm1 Lu1 Cd1 Os1'
_symmetry_space_group_name_H-M 'P 1'
_symmetry_Int_Tables_number 1
_symmetry_space_group_name_Hall 'P 1'
_cell_length_a 5.033
_cell_length_b 5.033
_cell_length_c 5.033
_cell_angle_alpha 60.00
_cell_angle_beta 60.00
_cell_angle_gamma 60.00
loop_
_atom_site_label
_atom_site_type_symbol
_atom_site_fract_x
_atom_site_fract_y
_atom_site_fract_z
Pm1 Pm 0.000 0.000 0.000
Lu1 Lu 0.500 0.500 0.500
Cd1 Cd 0.750 0.750 0.750
Os1 Os 0.250 0.250 0.250
```


7.
The following is a PBE calculation of an optimized crystal structure of Sm6Te3Ir2S, from Alexandria via LeMat-Bulk.

Calculated values
The formation energy from raw total energies comes out at -1278 meV/atom. The size of the total moment is 0.000 μB/f.u. The calculation puts the raw total energy at -6.2437 eV/atom. Its symmetry is C2/m (12). The mass density is 8.337 Mg/m³.

Structure (CIF):
```
data_Sm6Te3Ir2S
_chemical_formula_sum 'Sm6 Te3 Ir2 S1'
_symmetry_space_group_name_H-M 'P 1'
_symmetry_Int_Tables_number 1
_symmetry_space_group_name_Hall 'P 1'
_cell_length_a 9.783
_cell_length_b 9.783
_cell_length_c 8.824
_cell_angle_alpha 106.39
_cell_angle_beta 106.39
_cell_angle_gamma 24.78
loop_
_atom_site_label
_atom_site_type_symbol
_atom_site_fract_x
_atom_site_fract_y
_atom_site_fract_z
Sm1 Sm 0.014 0.014 0.239
Sm2 Sm 0.325 0.325 0.436
Sm3 Sm 0.335 0.335 0.878
Sm4 Sm 0.665 0.665 0.122
Sm5 Sm 0.675 0.675 0.564
Sm6 Sm 0.986 0.986 0.761
Te1 Te 0.161 0.161 0.843
Te2 Te 0.500 0.500 0.500
Te3 Te 0.839 0.839 0.157
Ir1 Ir 0.167 0.167 0.338
Ir2 Ir 0.833 0.833 0.662
S1 S 0.500 0.500 0.000
```


8.
The following is a PBE calculation of an optimized crystal structure of LiIn2Os, from Alexandria via LeMat-Bulk.

Calculated values
The size of the total moment is 0.000 μB/f.u. The calculation puts the formation energy at 0.14 eV per atom. The calculation puts the raw total energy at -4.5114 eV/atom. Its symmetry is Imm2 (44). The mass density is 10.165 Mg/m³.

Structure (CIF):
```
data_LiIn2Os
_chemical_formula_sum 'Li1 In2 Os1'
_symmetry_space_group_name_H-M 'P 1'
_symmetry_Int_Tables_number 1
_symmetry_space_group_name_Hall 'P 1'
_cell_length_a 5.448
_cell_length_b 5.448
_cell_length_c 5.448
_cell_angle_alpha 143.78
_cell_angle_beta 132.50
_cell_angle_gamma 61.16
loop_
_atom_site_label
_atom_site_type_symbol
_atom_site_fract_x
_atom_site_fract_y
_atom_site_fract_z
Li1 Li 0.000 0.000 0.000
In1 In 0.261 0.761 0.500
In2 In 0.527 0.527 0.000
Os1 Os 0.771 0.271 0.500
```


9.
The following is a PBE calculation of an optimized crystal structure of LiScRu2, from Alexandria via LeMat-Bulk.

Calculated values
The size of the total moment is 0.527 μB/f.u. The calculation puts the formation energy at -0.05 eV per atom. The calculation puts the raw total energy at -6.7445 eV/atom. Its symmetry is Imm2 (44). The mass density is 6.935 Mg/m³.

Structure (CIF):
```
data_LiScRu2
_chemical_formula_sum 'Li1 Sc1 Ru2'
_symmetry_space_group_name_H-M 'P 1'
_symmetry_Int_Tables_number 1
_symmetry_space_group_name_Hall 'P 1'
_cell_length_a 5.289
_cell_length_b 5.289
_cell_length_c 5.289
_cell_angle_alpha 146.64
_cell_angle_beta 130.99
_cell_angle_gamma 60.58
loop_
_atom_site_label
_atom_site_type_symbol
_atom_site_fract_x
_atom_site_fract_y
_atom_site_fract_z
Li1 Li 0.000 0.000 0.000
Sc1 Sc 0.729 0.229 0.500
Ru1 Ru 0.244 0.744 0.500
Ru2 Ru 0.473 0.473 0.000
```


10.
The following is a PBE calculation of an optimized crystal structure of CoTcRu, from Alexandria via LeMat-Bulk.

Calculated values
Its relative energy among the computed polymorphs is 295 meV/atom. The size of the total moment is 2.388 μB/f.u. The calculation puts the formation energy at 0.37 eV per atom. The calculation puts the raw total energy at -8.5433 eV/atom. Its symmetry is Fmm2 (42). The mass density is 10.465 Mg/m³.

Structure (CIF):
```
data_CoTcRu
_chemical_formula_sum 'Co1 Tc1 Ru1'
_symmetry_space_group_name_H-M 'P 1'
_symmetry_Int_Tables_number 1
_symmetry_space_group_name_Hall 'P 1'
_cell_length_a 6.956
_cell_length_b 6.732
_cell_length_c 2.633
_cell_angle_alpha 83.74
_cell_angle_beta 74.16
_cell_angle_gamma 22.10
loop_
_atom_site_label
_atom_site_type_symbol
_atom_site_fract_x
_atom_site_fract_y
_atom_site_fract_z
Co1 Co 0.000 0.000 0.000
Tc1 Tc 0.337 0.337 0.663
Ru1 Ru 0.664 0.664 0.336
```


11.
The following is a PBE calculation of an optimized crystal structure of B5C7, from Alexandria via LeMat-Bulk.

Calculated values
Its relative energy among the computed polymorphs is 101 meV/atom. The size of the total moment is 0.000 μB/f.u. The calculation puts the formation energy at 0.36 eV per atom. The calculation puts the raw total energy at -7.8040 eV/atom. Its symmetry is P1 (1). The mass density is 2.849 Mg/m³.

Structure (CIF):
```
data_B5C7
_chemical_formula_sum 'B5 C7'
_symmetry_space_group_name_H-M 'P 1'
_symmetry_Int_Tables_number 1
_symmetry_space_group_name_Hall 'P 1'
_cell_length_a 3.688
_cell_length_b 4.724
_cell_length_c 5.357
_cell_angle_alpha 107.98
_cell_angle_beta 91.83
_cell_angle_gamma 112.94
loop_
_atom_site_label
_atom_site_type_symbol
_atom_site_fract_x
_atom_site_fract_y
_atom_site_fract_z
B1 B 0.000 0.000 0.000
B2 B 0.069 0.109 0.527
B3 B 0.530 0.681 0.426
B4 B 0.639 0.382 0.826
B5 B 0.921 0.451 0.135
C1 C 0.227 0.028 0.760
C2 C 0.271 0.065 0.267
C3 C 0.319 0.719 0.690
C4 C 0.357 0.750 0.182
C5 C 0.564 0.725 0.935
C6 C 0.667 0.376 0.355
C7 C 0.924 0.397 0.598
```


12.
The following is a PBE calculation of an optimized crystal structure of Ga2Hg5Pb4, from Alexandria via LeMat-Bulk.

Calculated values
The size of the total moment is 0.000 μB/f.u. The calculation puts the formation energy at 0.05 eV per atom. The calculation puts the raw total energy at -1.9837 eV/atom. Its symmetry is P2/m (10). The mass density is 10.813 Mg/m³.

Structure (CIF):
```
data_Ga2Hg5Pb4
_chemical_formula_sum 'Ga2 Hg5 Pb4'
_symmetry_space_group_name_H-M 'P 1'
_symmetry_Int_Tables_number 1
_symmetry_space_group_name_Hall 'P 1'
_cell_length_a 8.919
_cell_length_b 3.377
_cell_length_c 10.055
_cell_angle_alpha 90.00
_cell_angle_beta 91.60
_cell_angle_gamma 90.00
loop_
_atom_site_label
_atom_site_type_symbol
_atom_site_fract_x
_atom_site_fract_y
_atom_site_fract_z
Ga1 Ga 0.002 0.000 0.138
Ga2 Ga 0.998 0.000 0.862
Hg1 Hg 0.162 0.000 0.624
Hg2 Hg 0.492 0.000 0.799
Hg3 Hg 0.500 0.000 0.500
Hg4 Hg 0.508 0.000 0.201
Hg5 Hg 0.838 0.000 0.376
Pb1 Pb 0.205 0.500 0.339
Pb2 Pb 0.264 0.500 0.990
Pb3 Pb 0.736 0.500 0.010
Pb4 Pb 0.795 0.500 0.661
```


Question: mass density of number 5 (YTm3Sb2C)?
Answer: 8.055 Mg/m³


Please write out number 4 again, unchanged.
The following is a PBE calculation of an optimized crystal structure of Er2UMn2C4, from Alexandria via LeMat-Bulk.

Calculated values
The size of the total moment is 1.930 μB/f.u. The calculation puts the formation energy at -0.12 eV per atom. The calculation puts the raw total energy at -8.5292 eV/atom. Its symmetry is C2/m (12). The mass density is 10.357 Mg/m³.

Structure (CIF):
```
data_Er2UMn2C4
_chemical_formula_sum 'Er2 U1 Mn2 C4'
_symmetry_space_group_name_H-M 'P 1'
_symmetry_Int_Tables_number 1
_symmetry_space_group_name_Hall 'P 1'
_cell_length_a 6.468
_cell_length_b 6.468
_cell_length_c 5.988
_cell_angle_alpha 108.64
_cell_angle_beta 108.64
_cell_angle_gamma 29.69
loop_
_atom_site_label
_atom_site_type_symbol
_atom_site_fract_x
_atom_site_fract_y
_atom_site_fract_z
Er1 Er 0.137 0.137 0.049
Er2 Er 0.863 0.863 0.951
U1 U 0.000 0.000 0.500
Mn1 Mn 0.318 0.318 0.507
Mn2 Mn 0.682 0.682 0.493
C1 C 0.221 0.221 0.710
C2 C 0.470 0.470 0.753
C3 C 0.530 0.530 0.247
C4 C 0.779 0.779 0.290
```


Question: The highest size of the total moment belongs to which entry?
Answer: CoTcRu